# 1
Compound: Pm2NF2
Source: Alexandria via LeMat-Bulk
Functional: GGA-PBE
Structure: optimized geometry

a b c (Å): 3.600 3.604 8.263
angles (deg): 89.37 77.42 60.04
Fractional positions:
Pm 0.780 0.115 0.326
Pm 0.220 0.885 0.674
F 0.450 0.268 0.833
F 0.550 0.732 0.167
N 0.000 0.500 0.500

Output
Its energy above the most stable polymorph in this dataset is 0.000 eV/atom. The mass density is 6.3 g/cm3. The value obtained for the total energy is -7.03 eV per atom.

# 2
Compound: PmN2F4
Source: Alexandria via LeMat-Bulk
Functional: GGA-PBE
Structure: optimized geometry

a b c (Å): 4.371 3.787 8.670
angles (deg): 118.34 104.60 90.00
Fractional positions:
F 0.578 0.219 0.155
F 0.422 0.781 0.845
F 0.090 0.702 0.180
F 0.910 0.298 0.820
Pm 0.000 0.000 0.000
N 0.697 0.635 0.393
N 0.303 0.365 0.607

Output
The mass density is 3.4 g/cm3. The value obtained for the total energy is -5.04 eV per atom.

# 3
Compound: Pm2SNF
Source: Alexandria via LeMat-Bulk
Functional: GGA-PBE
Structure: optimized geometry

a b c (Å): 3.944 7.018 7.833
angles (deg): 80.21 75.42 73.68
Fractional positions:
Pm 0.422 0.818 0.339
Pm 0.578 0.182 0.661
Pm 0.841 0.234 0.083
Pm 0.159 0.766 0.917
F 0.348 0.383 0.920
F 0.652 0.617 0.080
S 0.195 0.248 0.362
S 0.805 0.752 0.638
N 0.956 0.901 0.187
N 0.044 0.099 0.813

Output
The mass density is 5.9 g/cm3. The value obtained for the total energy is -7.15 eV per atom.

> Among the records above, which one has the highest mass density?

Pm2NF2